VASP calculation (PBE-GGA) on crystalline In2W2Br at its relaxed geometry.

- Theoretical density: 9417 kg/m³
- VASP energy: -5.96 eV per atom
- Magnetization: 0.00 μB per cell
- E_form (uncorrected): 62.5 kJ/mol of atoms

Lattice parameters (Å, degrees): 9.160 9.160 9.160 156.78 156.78 33.08
Fractional coordinates of all 5 atoms:
In 0.118 0.118 0.000
In 0.882 0.882 0.000
W 0.250 0.750 0.500
W 0.750 0.250 0.500
Br 0.500 0.500 0.000

VASP calculation (PBE-GGA) on crystalline HfCdPd2Ru at its relaxed geometry.

- Theoretical density: 8274 kg/m³
- VASP energy: -4.79 eV per atom
- Formation energy from the elements: 1.319 eV per atom
- Magnetization: 2.26 μB per cell

Lattice parameters (Å, degrees): 4.767 4.767 5.341 90.00 90.00 90.00
Fractional coordinates of all 5 atoms:
Hf 0.000 0.000 0.000
Cd 0.000 0.000 0.500
Pd 0.000 0.500 0.000
Pd 0.500 0.000 0.000
Ru 0.500 0.500 0.500

VASP calculation (PBE-GGA) on crystalline SrCoTc at its relaxed geometry.

- Theoretical density: 5709 kg/m³
- VASP energy: -4.38 eV per atom
- Formation energy from the elements: 2.000 eV per atom
- Magnetization: 4.00 μB per cell

Lattice parameters (Å, degrees): 4.651 4.651 4.651 60.00 60.00 60.00
Fractional coordinates of all 3 atoms:
Sr 0.000 0.000 0.000
Co 0.750 0.750 0.750
Tc 0.250 0.250 0.250

VASP calculation (PBE-GGA) on crystalline AcMn2Ga9 at its relaxed geometry.

- Theoretical density: 7336 kg/m³
- VASP energy: -4.38 eV per atom
- Formation energy from the elements: -0.240 eV per atom
- Magnetization: 2.28 μB per cell

Lattice parameters (Å, degrees): 8.128 8.128 3.815 90.00 90.00 120.00
Fractional coordinates of all 12 atoms:
Ac 0.000 0.000 0.000
Mn 0.333 0.667 0.000
Mn 0.667 0.333 0.000
Ga 0.000 0.500 0.000
Ga 0.206 0.412 0.500
Ga 0.206 0.794 0.500
Ga 0.412 0.206 0.500
Ga 0.500 0.000 0.000
Ga 0.500 0.500 0.000
Ga 0.588 0.794 0.500
Ga 0.794 0.206 0.500
Ga 0.794 0.588 0.500

VASP calculation (PBE-GGA) on crystalline ReNi2Sn2 at its relaxed geometry.

- Theoretical density: 10602 kg/m³
- VASP energy: -5.77 eV per atom
- Formation energy from the elements: 0.633 eV per atom
- Magnetization: 0.00 μB per cell

Lattice parameters (Å, degrees): 5.072 5.072 5.072 124.73 124.73 81.98
Fractional coordinates of all 5 atoms:
Re 0.000 0.000 0.000
Ni 0.356 0.356 0.000
Ni 0.644 0.644 0.000
Sn 0.250 0.750 0.500
Sn 0.750 0.250 0.500

VASP calculation (PBE-GGA) on crystalline Nd6Er3Pu at its relaxed geometry.

- Theoretical density: 7854 kg/m³
- VASP energy: -5.43 eV per atom
- Formation energy from the elements: 0.230 eV per atom
- Magnetization: 11.17 μB per cell

Lattice parameters (Å, degrees): 5.654 10.085 12.230 90.00 102.31 90.00
Fractional coordinates of all 20 atoms:
Nd 0.003 0.188 0.000
Nd 0.003 0.312 0.500
Nd 0.117 0.002 0.760
Nd 0.117 0.498 0.260
Nd 0.417 0.171 0.350
Nd 0.417 0.329 0.850
Nd 0.583 0.671 0.150
Nd 0.583 0.829 0.650
Nd 0.883 0.502 0.740
Nd 0.883 0.998 0.240
Nd 0.997 0.688 0.500
Nd 0.997 0.812 0.000
Er 0.417 0.666 0.868
Er 0.417 0.834 0.368
Er 0.500 0.000 0.000
Er 0.500 0.500 0.500
Er 0.583 0.166 0.632
Er 0.583 0.334 0.132
Pu 0.000 0.000 0.500
Pu 0.000 0.500 0.000

VASP calculation (PBE-GGA) on crystalline Ge2RhCl at its relaxed geometry.

- Theoretical density: 6685 kg/m³
- VASP energy: -4.33 eV per atom
- Magnetization: 0.00 μB per cell
- E_form (uncorrected): 26.5 kJ/mol of atoms

Lattice parameters (Å, degrees): 4.636 4.636 4.636 60.00 60.00 60.00
Fractional coordinates of all 4 atoms:
Ge 0.250 0.250 0.250
Ge 0.750 0.750 0.750
Rh 0.000 0.000 0.000
Cl 0.500 0.500 0.500

VASP calculation (PBE-GGA) on crystalline BaLiSb2Rh at its relaxed geometry.

- Theoretical density: 6501 kg/m³
- VASP energy: -4.60 eV per atom
- Magnetization: 0.00 μB per cell
- E_form (uncorrected): -68.4 kJ/mol of atoms

Lattice parameters (Å, degrees): 6.667 6.667 6.667 139.20 139.20 59.07
Fractional coordinates of all 5 atoms:
Ba 0.000 0.000 0.000
Li 0.750 0.250 0.500
Sb 0.365 0.365 0.000
Sb 0.635 0.635 0.000
Rh 0.250 0.750 0.500

VASP calculation (PBE-GGA) on crystalline CuTeIr2 at its relaxed geometry.

- Theoretical density: 14999 kg/m³
- VASP energy: -5.80 eV per atom
- Magnetization: 0.00 μB per cell
- E_form (uncorrected): 42.2 kJ/mol of atoms

Lattice parameters (Å, degrees): 4.904 4.904 4.904 132.07 132.07 70.12
Fractional coordinates of all 4 atoms:
Cu 0.000 0.000 0.000
Te 0.750 0.250 0.500
Ir 0.250 0.750 0.500
Ir 0.500 0.500 0.000

VASP calculation (PBE-GGA) on crystalline Nd2NiBr at its relaxed geometry.

- Theoretical density: 6352 kg/m³
- VASP energy: -5.05 eV per atom
- Magnetization: 0.00 μB per cell
- E_form (uncorrected): -77.4 kJ/mol of atoms

Lattice parameters (Å, degrees): 8.089 8.089 8.089 29.23 29.23 29.23
Fractional coordinates of all 4 atoms:
Nd 0.231 0.231 0.231
Nd 0.769 0.769 0.769
Ni 0.500 0.500 0.500
Br 0.000 0.000 0.000

VASP calculation (PBE-GGA) on crystalline SnSbTe2Ru at its relaxed geometry.

- Theoretical density: 6849 kg/m³
- VASP energy: -4.36 eV per atom
- Magnetization: 0.00 μB per cell
- E_form (uncorrected): 36.0 kJ/mol of atoms

Lattice parameters (Å, degrees): 5.399 5.399 4.962 90.00 90.00 90.00
Fractional coordinates of all 5 atoms:
Sn 0.000 0.000 0.000
Sb 0.500 0.500 0.000
Te 0.000 0.500 0.500
Te 0.500 0.000 0.500
Ru 0.500 0.500 0.500

VASP calculation (PBE-GGA) on crystalline Zr2CdTe at its relaxed geometry.

- Theoretical density: 7229 kg/m³
- VASP energy: -5.46 eV per atom
- Magnetization: 1.06 μB per cell
- E_form (uncorrected): -16.5 kJ/mol of atoms

Lattice parameters (Å, degrees): 9.091 9.091 9.091 22.56 22.56 22.56
Fractional coordinates of all 4 atoms:
Zr 0.000 0.000 0.000
Zr 0.174 0.174 0.174
Cd 0.754 0.754 0.754
Te 0.587 0.587 0.587